# 1
Entry from Alexandria via LeMat-Bulk: a geometry-optimized La2SiAg structure (GGA-PBE).

The structure belongs to space group Pmmm (No. 47); the cell edges are 3.531, 3.955 and 7.579 Å and the angles 90.00°, 90.00° and 90.00°. The inequivalent atoms are La at (0.000, 0.000, 0.230), Si at (0.500, 0.500, 0.000) and Ag at (0.500, 0.500, 0.500).

For the density, the calculation gives 6.49 Mg/m³. The energy is -19.85 eV per cell. As for the spin magnetization: 0.0 μB per cell. The value obtained for the energy relative to the elements, uncorrected is -430 meV/atom.



# 2
Entry from Alexandria via LeMat-Bulk: a geometry-optimized SrGa2Mo structure (GGA-PBE).

The structure belongs to space group Fm-3m (No. 225); the cell edges are 6.953, 6.953 and 6.953 Å and the angles 90.00°, 90.00° and 90.00°. The inequivalent atoms are Sr at (0.000, 0.000, 0.000), Ga at (0.250, 0.250, 0.250) and Mo at (0.000, 0.000, 0.500).

For the density, the calculation gives 6.38 Mg/m³. The energy is -69.56 eV per cell. The formation enthalpy at 0 K comes out at 1.176 eV/f.u. For the energy above the lowest structure with this stoichiometry, the calculation gives 0.0 kJ per mole of atoms. As for the spin magnetization: 9.8 μB per cell.



# 3
Entry from Alexandria via LeMat-Bulk: a geometry-optimized Ta2V3Mo structure (GGA-PBE).

The structure belongs to space group R-3m (No. 166, hexagonal axes); the cell edges are 5.1144, 5.1144 and 12.4463 Å and the angles 90.00°, 90.00° and 120.00°. The inequivalent atoms are Ta at (0.0000, 0.0000, 0.1245), V at (0.0000, 0.5000, 0.0000) and Mo at (0.0000, 0.0000, 0.5000).

For the density, the calculation gives 10.79 Mg/m³. The energy is -188.53 eV per cell. The formation enthalpy at 0 K comes out at -0.953 eV/f.u. As for the spin magnetization: 0.0 μB per cell.



# 4
Entry from Alexandria via LeMat-Bulk: a geometry-optimized NiSn6PtAu2 structure (GGA-PBE).

The structure belongs to space group P2_1/c (No. 14); the cell edges are 7.188, 6.603 and 11.819 Å and the angles 90.00°, 125.91° and 90.00°. The inequivalent atoms are Ni at (0.000, 0.000, 0.000), Sn at (0.097, 0.171, 0.423), Sn at (0.246, 0.651, 0.418), Sn at (0.393, 0.545, 0.740), Pt at (0.500, 0.000, 0.500) and Au at (0.207, 0.161, 0.728).

For the density, the calculation gives 9.94 Mg/m³. The energy is -89.25 eV per cell. The formation enthalpy at 0 K comes out at -2.231 eV/f.u. As for the spin magnetization: 0.0 μB per cell.